(i)
This record from Alexandria describes a geometry-optimized TePWS2 structure. The functional is PBEsol.

The density of states at the Fermi level comes out at 4.09 states/eV per cell.

Unit cell a=4.8088 b=4.8088 c=5.0221 alpha=90.00 beta=90.00 gamma=90.00
Space group P4/mmm (No. 123)
Asymmetric unit:
Te  0.0000  0.0000  0.0000 x1
P  0.0000  0.0000  0.5000 x1
W  0.5000  0.5000  0.5000 x1
S  0.0000  0.5000  0.0000 x2

(ii)
This record from Alexandria describes a geometry-optimized TePWS2 structure. The functional is PBEsol.

The density of states at the Fermi level comes out at 4.86 states/eV per cell.

Unit cell a=4.5414 b=4.5414 c=4.9577 alpha=90.00 beta=90.00 gamma=90.00
Space group P4/mmm (No. 123)
Asymmetric unit:
Te  0.0000  0.0000  0.0000 x1
P  0.5000  0.5000  0.0000 x1
W  0.5000  0.5000  0.5000 x1
S  0.0000  0.5000  0.5000 x2

Going by the computed energies, the most stable comes first: (ii), (i).

(i)
This record from Alexandria describes a geometry-optimized SbP structure. The functional is PBEsol.

The density of states at the Fermi level comes out at 5.02 states/eV per cell.

Unit cell a=11.8728 b=3.9195 c=5.5569 alpha=90.00 beta=90.44 gamma=90.00
Space group C2/m (No. 12)
Asymmetric unit:
Sb  0.0000  0.0000  0.0000 x2
Sb  0.1578  0.5000  0.5158 x4
P  0.0000  0.0000  0.5000 x2
P  0.1745  0.5000  0.9968 x4

(ii)
This record from Alexandria describes a geometry-optimized SbP structure. The functional is PBEsol.

The density of states at the Fermi level comes out at 4.70 states/eV per cell.

Unit cell a=3.8833 b=3.8833 c=11.1544 alpha=90.00 beta=90.00 gamma=90.00
Space group I4_1/amd (No. 141, origin choice 2)
Asymmetric unit:
Sb  0.0000  0.2500  0.3750 x4
P  0.0000  0.2500  0.8750 x4

Going by the computed energies, the most stable comes first: (i), (ii).

(i)
This record from Alexandria describes a geometry-optimized SbP2Se structure. The functional is PBEsol.

The density of states at the Fermi level comes out at 3.95 states/eV per cell.

Unit cell a=3.6506 b=5.0218 c=8.2270 alpha=90.00 beta=90.00 gamma=90.00
Space group Immm (No. 71)
Asymmetric unit:
Sb  0.0000  0.0000  0.0000 x2
P  0.0000  0.5000  0.2209 x4
Se  0.0000  0.0000  0.5000 x2

(ii)
This record from Alexandria describes a geometry-optimized SbP2Se structure. The functional is PBEsol.

The density of states at the Fermi level comes out at 2.54 states/eV per cell.

Unit cell a=11.6821 b=3.4502 c=4.4090 alpha=90.00 beta=98.77 gamma=90.00
Space group C2/m (No. 12)
Asymmetric unit:
Sb  0.0000  0.0000  0.0000 x2
P  0.2364  0.0000  0.1553 x4
Se  0.0000  0.5000  0.5000 x2

Going by the computed energies, the most stable comes first: (ii), (i).

(i)
This record from Alexandria describes a geometry-optimized Sb2PSe structure. The functional is PBEsol.

The density of states at the Fermi level comes out at 1.38 states/eV per cell.

Unit cell a=4.4445 b=3.7768 c=5.9664 alpha=90.00 beta=104.41 gamma=90.00
Space group Pm (No. 6)
Asymmetric unit:
Sb  0.0000  0.0000  0.0000 x1
Sb  0.4616  0.5000  0.4909 x1
P  0.5843  0.5000  0.9382 x1
Se  0.9654  0.0000  0.5033 x1

(ii)
This record from Alexandria describes a geometry-optimized Sb2PSe structure. The functional is PBEsol.

The density of states at the Fermi level comes out at 3.57 states/eV per cell.

Unit cell a=6.6219 b=4.2000 c=7.2121 alpha=90.00 beta=111.43 gamma=90.00
Space group C2/m (No. 12)
Asymmetric unit:
Sb  0.2416  0.0000  0.2289 x4
P  0.0000  0.5000  0.0000 x2
Se  0.0000  0.0000  0.5000 x2

(iii)
This record from Alexandria describes a geometry-optimized Sb2PSe structure. The functional is PBEsol.

The density of states at the Fermi level comes out at 8.91 states/eV per cell.

Unit cell a=6.9699 b=6.9699 c=6.9699 alpha=90.00 beta=90.00 gamma=90.00
Space group Fm-3m (No. 225)
Asymmetric unit:
Sb  0.2500  0.2500  0.2500 x8
P  0.0000  0.0000  0.0000 x4
Se  0.0000  0.0000  0.5000 x4

(iv)
This record from Alexandria describes a geometry-optimized Sb2PSe structure. The functional is PBEsol.

The density of states at the Fermi level comes out at 4.51 states/eV per cell.

Unit cell a=5.8941 b=8.0980 c=3.9894 alpha=90.00 beta=90.00 gamma=90.00
Space group Cmmm (No. 65)
Asymmetric unit:
Sb  0.0000  0.2331  0.0000 x4
P  0.0000  0.0000  0.5000 x2
Se  0.0000  0.5000  0.5000 x2

Going by the computed energies, the most stable comes first: (ii), (i), (iv), (iii).

(i)
This record from Alexandria describes a geometry-optimized SiSbP2 structure. The functional is PBEsol.

The density of states at the Fermi level comes out at 2.05 states/eV per cell.

Unit cell a=3.3243 b=4.5308 c=4.6115 alpha=90.00 beta=90.00 gamma=90.00
Space group Pmmm (No. 47)
Asymmetric unit:
Si  0.0000  0.0000  0.0000 x1
Sb  0.5000  0.0000  0.5000 x1
P  0.0000  0.5000  0.5000 x1
P  0.5000  0.5000  0.0000 x1

(ii)
This record from Alexandria describes a geometry-optimized SiSbP2 structure. The functional is PBEsol.

The density of states at the Fermi level comes out at 9.71 states/eV per cell.

Unit cell a=6.4494 b=6.4494 c=7.8811 alpha=90.00 beta=90.00 gamma=90.00
Space group I-42d (No. 122)
Asymmetric unit:
Si  0.0000  0.0000  0.0000 x4
Sb  0.0000  0.0000  0.5000 x4
P  0.1933  0.2500  0.1250 x8

(iii)
This record from Alexandria describes a geometry-optimized SiSbP2 structure. The functional is PBEsol.

The density of states at the Fermi level comes out at 3.87 states/eV per cell.

Unit cell a=3.7430 b=3.7430 c=10.3130 alpha=90.00 beta=90.00 gamma=90.00
Space group I-4m2 (No. 119)
Asymmetric unit:
Si  0.0000  0.0000  0.0000 x2
Sb  0.0000  0.5000  0.7500 x2
P  0.0000  0.0000  0.5000 x2
P  0.0000  0.5000  0.2500 x2

Going by the computed energies, the most stable comes first: (ii), (iii), (i).

(i)
This record from Alexandria describes a geometry-optimized Tc2SbP structure. The functional is PBEsol.

The density of states at the Fermi level comes out at 20.16 states/eV per cell.

Unit cell a=5.6618 b=5.6618 c=10.4964 alpha=90.00 beta=90.00 gamma=90.00
Space group I-42d (No. 122)
Asymmetric unit:
Tc  0.1999  0.2500  0.1250 x8
Sb  0.0000  0.0000  0.5000 x4
P  0.0000  0.0000  0.0000 x4

(ii)
This record from Alexandria describes a geometry-optimized Tc2SbP structure. The functional is PBEsol.

The density of states at the Fermi level comes out at 11.62 states/eV per cell.

Unit cell a=6.1690 b=6.1690 c=6.1690 alpha=90.00 beta=90.00 gamma=90.00
Space group Fm-3m (No. 225)
Asymmetric unit:
Tc  0.2500  0.2500  0.2500 x8
Sb  0.0000  0.0000  0.0000 x4
P  0.0000  0.0000  0.5000 x4

Going by the computed energies, the most stable comes first: (ii), (i).

(i)
This record from Alexandria describes a geometry-optimized SbTeP2 structure. The functional is PBEsol.

The density of states at the Fermi level comes out at 1.99 states/eV per cell.

Unit cell a=4.7990 b=3.8825 c=5.2772 alpha=90.00 beta=106.82 gamma=90.00
Space group P2/m (No. 10)
Asymmetric unit:
Sb  0.0000  0.0000  0.0000 x1
Te  0.5000  0.0000  0.5000 x1
P  0.3071  0.5000  0.8202 x2

(ii)
This record from Alexandria describes a geometry-optimized SbTeP2 structure. The functional is PBEsol.

The density of states at the Fermi level comes out at 2.63 states/eV per cell.

Unit cell a=4.8117 b=4.8117 c=3.4416 alpha=90.00 beta=90.00 gamma=90.00
Space group P4/mmm (No. 123)
Asymmetric unit:
Sb  0.0000  0.0000  0.0000 x1
Te  0.5000  0.5000  0.0000 x1
P  0.0000  0.5000  0.5000 x2

Going by the computed energies, the most stable comes first: (i), (ii).

(i)
This record from Alexandria describes a geometry-optimized Sb2TeP structure. The functional is PBEsol.

The density of states at the Fermi level comes out at 4.70 states/eV per cell.

Unit cell a=3.5165 b=5.0154 c=10.8847 alpha=90.00 beta=90.00 gamma=90.00
Space group Immm (No. 71)
Asymmetric unit:
Sb  0.0000  0.0000  0.1975 x4
Te  0.0000  0.5000  0.0000 x2
P  0.0000  0.5000  0.5000 x2

(ii)
This record from Alexandria describes a geometry-optimized Sb2TeP structure. The functional is PBEsol.

The density of states at the Fermi level comes out at 5.56 states/eV per cell.

Unit cell a=4.2434 b=4.2434 c=19.7047 alpha=90.00 beta=90.00 gamma=120.00
Space group R-3m (No. 166, hexagonal axes)
Asymmetric unit:
Sb  0.0000  0.0000  0.2361 x6
Te  0.0000  0.0000  0.0000 x3
P  0.0000  0.0000  0.5000 x3

Going by the computed energies, the most stable comes first: (ii), (i).

(i)
This record from Alexandria describes a geometry-optimized Sb2TeP structure. The functional is PBEsol.

The density of states at the Fermi level comes out at 2.10 states/eV per cell.

Unit cell a=3.5455 b=3.5455 c=7.8029 alpha=90.00 beta=90.00 gamma=90.00
Space group P4mm (No. 99)
Asymmetric unit:
Sb  0.0000  0.0000  0.0000 x1
Sb  0.5000  0.5000  0.3147 x1
Te  0.0000  0.0000  0.5435 x1
P  0.5000  0.5000  0.8606 x1

(ii)
This record from Alexandria describes a geometry-optimized Sb2TeP structure. The functional is PBEsol.

The density of states at the Fermi level comes out at 2.46 states/eV per cell.

Unit cell a=4.2168 b=4.2168 c=6.0955 alpha=90.00 beta=90.00 gamma=90.00
Space group P4mm (No. 99)
Asymmetric unit:
Sb  0.0000  0.0000  0.0000 x1
Sb  0.5000  0.5000  0.4356 x1
Te  0.0000  0.0000  0.5014 x1
P  0.5000  0.5000  0.0151 x1

Going by the computed energies, the most stable comes first: (ii), (i).

(i)
This record from Alexandria describes a geometry-optimized Ti2SbP2 structure. The functional is PBEsol.

The density of states at the Fermi level comes out at 4.80 states/eV per cell.

Unit cell a=7.1307 b=7.1307 c=3.1880 alpha=90.00 beta=90.00 gamma=90.00
Space group P4/mbm (No. 127)
Asymmetric unit:
Ti  0.1490  0.3510  0.0000 x4
Sb  0.0000  0.0000  0.0000 x2
P  0.1342  0.6342  0.5000 x4

(ii)
This record from Alexandria describes a geometry-optimized Ti2SbP2 structure. The functional is PBEsol.

The density of states at the Fermi level comes out at 6.23 states/eV per cell.

Unit cell a=3.4943 b=3.4943 c=13.2203 alpha=90.00 beta=90.00 gamma=90.00
Space group I4/mmm (No. 139)
Asymmetric unit:
Ti  0.0000  0.0000  0.1140 x4
Sb  0.0000  0.0000  0.5000 x2
P  0.0000  0.5000  0.2500 x4

Going by the computed energies, the most stable comes first: (ii), (i).

(i)
This record from Alexandria describes a geometry-optimized TlSbP2 structure. The functional is PBEsol.

The density of states at the Fermi level comes out at 2.64 states/eV per cell.

Unit cell a=4.9304 b=4.9304 c=3.3534 alpha=90.00 beta=90.00 gamma=90.00
Space group P4/mmm (No. 123)
Asymmetric unit:
Tl  0.0000  0.0000  0.0000 x1
Sb  0.5000  0.5000  0.0000 x1
P  0.0000  0.5000  0.5000 x2

(ii)
This record from Alexandria describes a geometry-optimized TlSbP2 structure. The functional is PBEsol.

The density of states at the Fermi level comes out at 3.84 states/eV per cell.

Unit cell a=3.8937 b=3.8937 c=19.8330 alpha=90.00 beta=90.00 gamma=120.00
Space group R-3m (No. 166, hexagonal axes)
Asymmetric unit:
Tl  0.0000  0.0000  0.0000 x3
Sb  0.0000  0.0000  0.5000 x3
P  0.0000  0.0000  0.2444 x6

(iii)
This record from Alexandria describes a geometry-optimized TlSbP2 structure. The functional is PBEsol.

The density of states at the Fermi level comes out at 3.90 states/eV per cell.

Unit cell a=9.8836 b=3.2266 c=6.1393 alpha=90.00 beta=113.40 gamma=90.00
Space group Cm (No. 8)
Asymmetric unit:
Tl  0.0000  0.0000  0.0000 x2
Sb  0.3167  0.5000  0.3308 x2
P  0.0668  0.5000  0.6225 x2
P  0.2258  0.0000  0.6370 x2

Going by the computed energies, the most stable comes first: (ii), (iii), (i).

(i)
This record from Alexandria describes a geometry-optimized TlSb2P structure. The functional is PBEsol.

The density of states at the Fermi level comes out at 1.85 states/eV per cell.

Unit cell a=3.0520 b=3.5712 c=9.3254 alpha=90.00 beta=90.00 gamma=90.00
Space group Pmmm (No. 47)
Asymmetric unit:
Tl  0.0000  0.0000  0.0000 x1
Sb  0.5000  0.5000  0.2842 x2
P  0.5000  0.0000  0.5000 x1

(ii)
This record from Alexandria describes a geometry-optimized TlSb2P structure. The functional is PBEsol.

The density of states at the Fermi level comes out at 6.26 states/eV per cell.

Unit cell a=3.7081 b=3.7081 c=25.8650 alpha=90.00 beta=90.00 gamma=120.00
Space group R3m (No. 160, hexagonal axes)
Asymmetric unit:
Tl  0.0000  0.0000  0.0000 x3
Sb  0.0000  0.0000  0.5246 x3
Sb  0.0000  0.0000  0.7636 x3
P  0.0000  0.0000  0.2496 x3

(iii)
This record from Alexandria describes a geometry-optimized TlSb2P structure. The functional is PBEsol.

The density of states at the Fermi level comes out at 1.91 states/eV per cell.

Unit cell a=4.4141 b=4.4141 c=4.9610 alpha=90.00 beta=90.00 gamma=90.00
Space group P4/mmm (No. 123)
Asymmetric unit:
Tl  0.0000  0.0000  0.0000 x1
Sb  0.0000  0.5000  0.5000 x2
P  0.5000  0.5000  0.0000 x1

Going by the computed energies, the most stable comes first: (ii), (i), (iii).